Material: La3CI3
Method: DFT, GGA-PBE
State: relaxed

abc: 9.360 12.898 8.283
angles: 90.00 103.90 90.00
Space group C2/m (No. 12)
One atom of each set of equivalent atoms:
1 La 0.094 0.000 0.335 [4 per cell]
2 La 0.215 0.350 0.262 [8 per cell]
3 C 0.162 0.000 0.637 [4 per cell]
4 I 0.000 0.169 0.000 [4 per cell]
5 I 0.000 0.270 0.500 [4 per cell]
6 I 0.104 0.500 0.837 [4 per cell]

Output
ΔE_f (raw) (eV per atom): -0.903
Density (g/cm3): 5.539
Magnetic moment (μB/f.u.): 0.92
Polymorph energy (0 for the lowest one) (eV per formula unit): 1.10



Material: Mg4CdAg5
Method: DFT, GGA-PBE
State: relaxed

abc: 3.385 3.385 16.276
angles: 90.00 90.00 90.00
Space group P4/mmm (No. 123)
One atom of each set of equivalent atoms:
1 Mg 0.000 0.000 0.100 [2 per cell]
2 Mg 0.000 0.000 0.298 [2 per cell]
3 Cd 0.000 0.000 0.500 [1 per cell]
4 Ag 0.500 0.500 0.000 [1 per cell]
5 Ag 0.500 0.500 0.199 [2 per cell]
6 Ag 0.500 0.500 0.395 [2 per cell]

Output
Density (g/cm3): 6.671
Magnetic moment (μB/f.u.): 0.00
Formation energy (eV per atom): -0.209



Material: LaPr2PaRu2
Method: DFT, GGA-PBE
State: relaxed

abc: 7.288 13.456 6.950
angles: 90.00 90.00 90.00
Space group Ibam (No. 72)
One atom of each set of equivalent atoms:
1 La 0.000 0.000 0.250 [4 per cell]
2 Pr 0.200 0.302 0.000 [8 per cell]
3 Pa 0.000 0.500 0.250 [4 per cell]
4 Ru 0.206 0.410 0.500 [8 per cell]

Output
Density (g/cm3): 8.322
Magnetic moment (μB/f.u.): 0.00
Formation energy (eV per atom): -0.254



Material: RbLaTb4S8
Method: DFT, GGA-PBE
State: relaxed

abc: 8.2905 8.2905 20.9641
angles: 90.00 90.00 120.00
Space group R3m (No. 160, hexagonal axes)
One atom of each set of equivalent atoms:
1 Rb 0.0000 0.0000 0.0000 [3 per cell]
2 La 0.0000 0.0000 0.6336 [3 per cell]
3 Tb 0.0000 0.0000 0.2551 [3 per cell]
4 Tb 0.1723 0.3446 0.4614 [9 per cell]
5 S 0.0000 0.0000 0.3862 [3 per cell]
6 S 0.0000 0.0000 0.8594 [3 per cell]
7 S 0.0447 0.5224 0.3898 [9 per cell]
8 S 0.1732 0.3464 0.2081 [9 per cell]

Output
ΔE_f (raw) (eV per atom): -1.922
Density (g/cm3): 4.458
Magnetic moment (μB/f.u.): 0.00



Material: Ac2LaHg3
Method: DFT, GGA-PBE
State: relaxed

abc: 4.005 4.005 11.990
angles: 90.00 90.00 90.00
Space group P4/mmm (No. 123)
One atom of each set of equivalent atoms:
1 Ac 0.000 0.000 0.171 [2 per cell]
2 La 0.000 0.000 0.500 [1 per cell]
3 Hg 0.500 0.500 0.000 [1 per cell]
4 Hg 0.500 0.500 0.344 [2 per cell]

Output
Density (g/cm3): 10.313
Magnetic moment (μB/f.u.): 0.94
Formation energy (eV per atom): -0.480



Material: Sr14Sn3As12
Method: DFT, GGA-PBE
State: relaxed

abc: 13.1961 13.1961 17.4652
angles: 90.00 90.00 120.00
Space group R3 (No. 146, hexagonal axes)
One atom of each set of equivalent atoms:
1 Sr 0.0000 0.0000 0.0068 [3 per cell]
2 Sr 0.0000 0.0000 0.7930 [3 per cell]
3 Sr 0.1106 0.3744 0.5178 [9 per cell]
4 Sr 0.1176 0.7372 0.2535 [9 per cell]
5 Sr 0.1192 0.7404 0.7598 [9 per cell]
6 Sr 0.1448 0.4039 0.0000 [9 per cell]
7 Sn 0.0000 0.0000 0.2162 [3 per cell]
8 Sn 0.0000 0.0000 0.4410 [3 per cell]
9 Sn 0.0000 0.0000 0.6058 [3 per cell]
10 As 0.0374 0.2040 0.6661 [9 per cell]
11 As 0.0428 0.8273 0.9063 [9 per cell]
12 As 0.0484 0.2112 0.1465 [9 per cell]
13 As 0.0555 0.8363 0.4111 [9 per cell]

Output
Density (g/cm3): 4.694
Magnetic moment (μB/f.u.): 0.00
Formation energy (eV per atom): -1.027



Material: Rb3CeNp3S8
Method: DFT, GGA-PBE
State: relaxed

abc: 8.1912 8.1912 23.3074
angles: 90.00 90.00 120.00
Space group R-3m (No. 166, hexagonal axes)
One atom of each set of equivalent atoms:
1 Rb 0.0000 0.5000 0.0000 [9 per cell]
2 Ce 0.0000 0.0000 0.5000 [3 per cell]
3 Np 0.0000 0.5000 0.5000 [9 per cell]
4 S 0.0000 0.0000 0.2289 [6 per cell]
5 S 0.0050 0.5025 0.7710 [18 per cell]

Output
ΔE_f (raw) (eV per atom): -1.493
Density (g/cm3): 5.017
Magnetic moment (μB/f.u.): 12.00



Material: MgTiAs2Br
Method: DFT, GGA-PBE
State: relaxed

abc: 4.892 4.892 5.263
angles: 90.00 90.00 90.00
Space group P4/mmm (No. 123)
One atom of each set of equivalent atoms:
1 Mg 0.000 0.000 0.000 [1 per cell]
2 Ti 0.500 0.500 0.500 [1 per cell]
3 As 0.000 0.500 0.500 [2 per cell]
4 Br 0.500 0.500 0.000 [1 per cell]

Output
ΔE_f (raw) (eV per atom): -0.162
Density (g/cm3): 3.980
Magnetic moment (μB/f.u.): 0.00
Polymorph energy (0 for the lowest one) (eV per formula unit): 0.00



Material: Si2Os
Method: DFT, GGA-PBE
State: relaxed

abc: 5.965 5.976 3.026
angles: 90.00 90.00 90.00
Space group Pnnm (No. 58)
One atom of each set of equivalent atoms:
1 Si 0.220 0.220 0.000 [4 per cell]
2 Os 0.000 0.000 0.500 [2 per cell]

Output
ΔE_f (raw) (eV per atom): -0.139
Density (g/cm3): 7.587
Magnetic moment (μB/f.u.): 0.00



Material: Cd2SnHg5Pb
Method: DFT, GGA-PBE
State: relaxed

abc: 3.655 16.874 15.313
angles: 90.00 90.00 90.00
Space group Cmc2_1 (No. 36)
One atom of each set of equivalent atoms:
1 Cd 0.000 0.078 0.000 [4 per cell]
2 Cd 0.000 0.125 0.679 [4 per cell]
3 Sn 0.000 0.216 0.247 [4 per cell]
4 Hg 0.000 0.059 0.359 [4 per cell]
5 Hg 0.000 0.259 0.909 [4 per cell]
6 Hg 0.000 0.276 0.570 [4 per cell]
7 Hg 0.000 0.398 0.340 [4 per cell]
8 Hg 0.000 0.410 0.021 [4 per cell]
9 Pb 0.000 0.453 0.674 [4 per cell]

Output
Density (g/cm3): 10.928
Magnetic moment (μB/f.u.): 0.00
Formation energy (eV per atom): 0.043



Material: Na4Tl7Sn
Method: DFT, GGA-PBE
State: relaxed

abc: 12.186 5.866 12.144
angles: 90.00 119.75 90.00
Space group C2/m (No. 12)
One atom of each set of equivalent atoms:
1 Na 0.172 0.000 0.281 [4 per cell]
2 Na 0.175 0.500 0.128 [4 per cell]
3 Tl 0.000 0.000 0.500 [2 per cell]
4 Tl 0.092 0.500 0.806 [4 per cell]
5 Tl 0.113 0.000 0.964 [4 per cell]
6 Tl 0.202 0.500 0.413 [4 per cell]
7 Sn 0.000 0.500 0.500 [2 per cell]

Output
Density (g/cm3): 7.233
Magnetic moment (μB/f.u.): 0.00
Formation energy (eV per atom): -0.018



Material: Sm5Y2
Method: DFT, GGA-PBE
State: relaxed

abc: 3.615 8.076 8.843
angles: 68.46 89.88 77.09
Space group P-1 (No. 2)
One atom of each set of equivalent atoms:
1 Sm 0.000 0.000 0.000 [1 per cell]
2 Sm 0.143 0.714 0.429 [2 per cell]
3 Sm 0.428 0.144 0.284 [2 per cell]
4 Y 0.285 0.429 0.858 [2 per cell]

Output
Density (g/cm3): 6.621
Magnetic moment (μB/f.u.): 0.00
Formation energy (eV per atom): 0.012
Polymorph energy (0 for the lowest one) (eV per formula unit): 0.00



Number 10 is which compound?
Cd2SnHg5Pb